(1)
Entry from OQMD: an optimized crystal structure of DyAl2 (GGA-PBE).

The space group is P4_2/mnm (No. 136) and the conventional cell measures 5.7616, 5.7616 and 5.5621 Å, with angles of 90.00, 90.00 and 90.00 degrees. The distinct sites, in fractional coordinates, are Dy at (0.0000, 0.0000, 0.0000) and Al at (0.1518, 0.1518, 0.5000).

The electronic total energy is -10.419 eV per formula unit. For the magnetization, the calculation gives 0.002 μB/atom. The calculation puts the volume at 30.8 Å³ per atom.

***

(2)
Entry from OQMD: an optimized crystal structure of ScTaTe2C (GGA-PBE).

The space group is P3m1 (No. 156) and the conventional cell measures 3.4076, 3.4076 and 10.7885 Å, with angles of 90.00, 90.00 and 120.00 degrees. The distinct sites, in fractional coordinates, are Sc at (0.0000, 0.0000, 0.0000), Ta at (0.6667, 0.3333, 0.7829), Te at (0.0000, 0.0000, 0.5918), Te at (0.6667, 0.3333, 0.2112) and C at (0.3333, 0.6667, 0.8814).

The electronic total energy is -36.712 eV per formula unit. For the magnetization, the calculation gives 0.005 μB/atom. The calculation puts the volume at 21.7 Å³ per atom.

***

(3)
Entry from OQMD: an optimized crystal structure of SrSmCuTeS2 (GGA-PBE).

The space group is Cmcm (No. 63) and the conventional cell measures 4.0542, 14.2196 and 11.0728 Å, with angles of 90.00, 90.00 and 90.00 degrees. The distinct sites, in fractional coordinates, are Sr at (0.0000, 0.2127, 0.2500), Sm at (0.0000, 0.0000, 0.0000), Cu at (0.0000, 0.4807, 0.7500), Te at (0.0000, 0.1019, 0.7500) and S at (0.0000, 0.3794, 0.5839).

The electronic total energy is -30.478 eV per formula unit. For the magnetization, the calculation gives 0.000 μB/atom. The calculation puts the volume at 26.6 Å³ per atom.

***

(4)
Entry from OQMD: an optimized crystal structure of SrLiPrS3 (GGA-PBE).

The space group is Pnma (No. 62) and the conventional cell measures 10.8576, 4.1024 and 12.8361 Å, with angles of 90.00, 90.00 and 90.00 degrees. The distinct sites, in fractional coordinates, are Sr at (0.1989, 0.2500, 0.0023), Li at (0.2291, 0.7500, 0.7732), Pr at (0.0189, 0.7500, 0.2779), S at (0.0436, 0.7500, 0.8732), S at (0.1154, 0.2500, 0.4024) and S at (0.2416, 0.2500, 0.6729).

The electronic total energy is -32.115 eV per formula unit. For the magnetization, the calculation gives 0.000 μB/atom. The calculation puts the volume at 23.8 Å³ per atom. The value obtained for the excess energy over the best structure of this formula in the dataset is 0.001 eV/atom.

***

(5)
Entry from OQMD: an optimized crystal structure of NaDyH2S2O9 (GGA-PBE).

The space group is P3_121 (No. 152) and the conventional cell measures 6.7598, 6.7598 and 12.5691 Å, with angles of 90.00, 90.00 and 120.00 degrees. The distinct sites, in fractional coordinates, are Na at (0.0000, 0.4675, 0.1667), Dy at (0.0000, 0.4314, 0.6667), H at (0.0401, 0.0874, 0.3806), S at (0.0138, 0.4524, 0.9081), O at (0.0000, 0.0824, 0.6667), O at (0.1274, 0.3772, 0.4945), O at (0.1292, 0.6185, 0.3482), O at (0.1323, 0.6475, 0.8334) and O at (0.1756, 0.4098, 0.9693).

The electronic total energy is -93.268 eV per formula unit. For the magnetization, the calculation gives 0.000 μB/atom. The calculation puts the volume at 11.1 Å³ per atom.

***

(6)
Entry from OQMD: an optimized crystal structure of CsLuFeSe3 (GGA-PBE).

The space group is Pnma (No. 62) and the conventional cell measures 16.4921, 4.0618 and 10.8861 Å, with angles of 90.00, 90.00 and 90.00 degrees. The distinct sites, in fractional coordinates, are Cs at (0.2372, 0.2500, 0.0267), Lu at (0.0156, 0.2500, 0.3468), Fe at (0.0104, 0.7500, 0.0835), Se at (0.0762, 0.7500, 0.8804), Se at (0.0890, 0.2500, 0.5742) and Se at (0.1145, 0.7500, 0.2424).

The electronic total energy is -31.438 eV per formula unit. For the magnetization, the calculation gives 0.648 μB/atom. The calculation puts the volume at 30.4 Å³ per atom. The value obtained for the excess energy over the best structure of this formula in the dataset is 0.002 eV/atom.

***

(7)
Entry from OQMD: an optimized crystal structure of GdYCu2Bi4 (GGA-PBE).

The space group is P4mm (No. 99) and the conventional cell measures 4.5485, 4.5485 and 9.6729 Å, with angles of 90.00, 90.00 and 90.00 degrees. The distinct sites, in fractional coordinates, are Gd at (0.0000, 0.0000, 0.0000), Y at (0.5000, 0.5000, 0.5288), Cu at (0.0000, 0.5000, 0.7636), Bi at (0.0000, 0.0000, 0.5977), Bi at (0.0000, 0.5000, 0.2649) and Bi at (0.5000, 0.5000, 0.9300).

The electronic total energy is -38.195 eV per formula unit. For the magnetization, the calculation gives 0.001 μB/atom. The calculation puts the volume at 25.0 Å³ per atom.

***

(8)
Entry from OQMD: an optimized crystal structure of HfMgScCo (GGA-PBE).

The space group is F-43m (No. 216) and the conventional cell measures 6.5389, 6.5389 and 6.5389 Å, with angles of 90.00, 90.00 and 90.00 degrees. The distinct sites, in fractional coordinates, are Hf at (0.0000, 0.0000, 0.0000), Mg at (0.0000, 0.0000, 0.5000), Sc at (0.2500, 0.2500, 0.2500) and Co at (0.2500, 0.2500, 0.7500).

The electronic total energy is -24.684 eV per formula unit. For the magnetization, the calculation gives 0.000 μB/atom. The calculation puts the volume at 17.5 Å³ per atom. The value obtained for the excess energy over the best structure of this formula in the dataset is 0.084 eV/atom.

***

(9)
Entry from OQMD: an optimized crystal structure of Pr3Ge4Pd2Au2 (GGA-PBE).

The space group is Immm (No. 71) and the conventional cell measures 4.2805, 4.3917 and 25.4788 Å, with angles of 90.00, 90.00 and 90.00 degrees. The distinct sites, in fractional coordinates, are Pr at (0.0000, 0.0000, 0.0000), Pr at (0.0000, 0.5000, 0.1501), Ge at (0.0000, 0.0000, 0.4509), Ge at (0.0000, 0.5000, 0.3023), Pd at (0.0000, 0.0000, 0.2499) and Au at (0.0000, 0.5000, 0.4022).

The electronic total energy is -58.659 eV per formula unit. For the magnetization, the calculation gives 0.003 μB/atom. The calculation puts the volume at 21.8 Å³ per atom.

***

(10)
Entry from OQMD: an optimized crystal structure of NdTlAg3O4 (GGA-PBE).

The space group is P-43m (No. 215) and the conventional cell measures 5.5513, 5.5513 and 5.5513 Å, with angles of 90.00, 90.00 and 90.00 degrees. The distinct sites, in fractional coordinates, are Nd at (0.0000, 0.0000, 0.0000), Tl at (0.5000, 0.5000, 0.5000), Ag at (0.0000, 0.0000, 0.5000) and O at (0.2411, 0.2411, 0.7589).

The electronic total energy is -40.857 eV per formula unit. For the magnetization, the calculation gives 0.085 μB/atom. The calculation puts the volume at 19.0 Å³ per atom.

***

(11)
Entry from OQMD: an optimized crystal structure of NdY2Ga2Co4 (GGA-PBE).

The space group is C2/m (No. 12) and the conventional cell measures 9.9876, 4.0793 and 8.1216 Å, with angles of 90.00, 99.29 and 90.00 degrees. The distinct sites, in fractional coordinates, are Nd at (0.0000, 0.0000, 0.0000), Y at (0.1274, 0.5000, 0.3776), Ga at (0.1783, 0.5000, 0.7723), Co at (0.0801, 0.0000, 0.6227) and Co at (0.2409, 0.5000, 0.0812).

The electronic total energy is -55.364 eV per formula unit. For the magnetization, the calculation gives 0.109 μB/atom. The calculation puts the volume at 18.1 Å³ per atom.

***

(12)
Entry from OQMD: an optimized crystal structure of YZnCoB (GGA-PBE).

The space group is F-43m (No. 216) and the conventional cell measures 6.1144, 6.1144 and 6.1144 Å, with angles of 90.00, 90.00 and 90.00 degrees. The distinct sites, in fractional coordinates, are Y at (0.0000, 0.0000, 0.0000), Zn at (0.2500, 0.2500, 0.2500), Co at (0.2500, 0.2500, 0.7500) and B at (0.0000, 0.0000, 0.5000).

The electronic total energy is -19.430 eV per formula unit. For the magnetization, the calculation gives 0.218 μB/atom. The calculation puts the volume at 14.3 Å³ per atom. The value obtained for the excess energy over the best structure of this formula in the dataset is 0.280 eV/atom.